## Ac3CeGa4 (PBE)

Data for a relaxed Ac3CeGa4 crystal.

ΔH_f (0 K) (meV/atom): -305
Volume (Å³ per cell): 259.7
Magnetic moment (μB/cell): 0.88
DFT total energy (eV/atom): -4.101

abc: 4.3669 6.9735 9.4685
angles: 111.61 103.33 90.00
Last column: nearest neighbours and their distance in Å.
Fractional coordinates of all 8 atoms:
Ac 0.1946 0.1946 0.3892  6 Ga 3.31-3.33
Ac 0.8054 0.8054 0.6108  6 Ga 3.31-3.33
Ac 0.0000 0.5000 0.0000  8 Ga 3.32
Ce 0.5000 0.0000 0.0000  4 Ga 3.06
Ga 0.3746 0.5601 0.7492  1 Ga 2.59
Ga 0.6254 0.4399 0.2508  1 Ga 2.59
Ga 0.6254 0.8110 0.2508  1 Ga 2.59
Ga 0.3746 0.1890 0.7492  1 Ga 2.59

***

## AcCe2Ga2 (PBE)

Data for a relaxed AcCe2Ga2 crystal.

ΔH_f (0 K) (meV/atom): -264
Volume (Å³ per cell): 290.3
Magnetic moment (μB/cell): 1.12
Excess energy over the best structure of this formula in the dataset (meV/atom): 86
DFT total energy (eV/atom): -4.670

abc: 4.3488 5.2974 12.6756
angles: 96.14 90.00 90.00
Last column: nearest neighbours and their distance in Å.
Fractional coordinates of all 10 atoms:
Ac 0.2500 0.6936 0.2430  5 Ga 3.45-3.58, 6 Ce 3.77-3.84
Ac 0.7500 0.3064 0.7570  5 Ga 3.45-3.58, 6 Ce 3.77-3.84
Ce 0.2500 0.8367 0.8826  5 Ga 2.90-3.01
Ce 0.7500 0.1633 0.1174  5 Ga 2.90-3.01
Ce 0.2500 0.3332 0.5086  2 Ce 2.82, 3 Ga 3.04-3.07
Ce 0.7500 0.6668 0.4914  2 Ce 2.82, 3 Ga 3.04-3.07
Ga 0.2500 0.8425 0.6495  5 Ce 2.96-3.31
Ga 0.7500 0.1575 0.3505  5 Ce 2.96-3.31
Ga 0.2500 0.3561 0.9828  2 Ga 2.66, 2 Ce 2.90-2.96
Ga 0.7500 0.6439 0.0172  2 Ga 2.66, 2 Ce 2.90-2.96

***

## AcCe4Ga4 (PBE)

Data for a relaxed AcCe4Ga4 crystal.

ΔH_f (0 K) (meV/atom): -280
Volume (Å³ per cell): 477.3
Magnetic moment (μB/cell): 2.35
DFT total energy (eV/atom): -4.719

abc: 6.8446 6.8446 10.1889
angles: 90.00 90.00 90.00
Last column: nearest neighbours and their distance in Å.
Fractional coordinates of all 18 atoms:
Ac 0.0000 0.0000 0.0000  4 Ga 3.48, 8 Ce 3.89
Ac 0.5000 0.5000 0.5000  4 Ga 3.48, 8 Ce 3.89
Ce 0.2483 0.5000 0.9290  2 Ce 2.83, 5 Ga 3.02-3.09
Ce 0.7517 0.5000 0.9290  2 Ce 2.83, 5 Ga 3.02-3.09
Ce 0.5000 0.7517 0.0710  2 Ce 2.83, 5 Ga 3.02-3.09
Ce 0.5000 0.2483 0.0710  2 Ce 2.83, 5 Ga 3.02-3.09
Ce 0.0000 0.7483 0.4290  2 Ce 2.83, 5 Ga 3.02-3.09
Ce 0.0000 0.2517 0.4290  2 Ce 2.83, 5 Ga 3.02-3.09
Ce 0.2517 0.0000 0.5710  2 Ce 2.83, 5 Ga 3.02-3.09
Ce 0.7483 0.0000 0.5710  2 Ce 2.83, 5 Ga 3.02-3.09
Ga 0.5000 0.7977 0.7766  1 Ga 2.77, 5 Ce 3.02-3.09
Ga 0.5000 0.2023 0.7766  1 Ga 2.77, 5 Ce 3.02-3.09
Ga 0.7977 0.5000 0.2234  1 Ga 2.77, 5 Ce 3.02-3.09
Ga 0.2023 0.5000 0.2234  1 Ga 2.77, 5 Ce 3.02-3.09
Ga 0.2977 0.0000 0.2766  1 Ga 2.77, 5 Ce 3.02-3.09
Ga 0.7023 0.0000 0.2766  1 Ga 2.77, 5 Ce 3.02-3.09
Ga 0.0000 0.2977 0.7234  1 Ga 2.77, 5 Ce 3.02-3.09
Ga 0.0000 0.7023 0.7234  1 Ga 2.77, 5 Ce 3.02-3.09